## NaTaCuS3 (PBE)

Data for a relaxed NaTaCuS3 crystal.

Results
Calculated volume   216 Å³ per cell
E   -5.618 eV per atom
Magnetization   0.07 μB/f.u.

Cell: 8.210 8.210 7.850 Å, 99.26 99.26 24.46°
Positions (direct):
Cu 0.456 0.456 0.263
Cu 0.544 0.544 0.737
Na 0.129 0.129 0.080
Na 0.871 0.871 0.920
S 0.500 0.500 0.000
S 0.316 0.316 0.187
S 0.678 0.678 0.369
S 0.000 0.000 0.500
S 0.322 0.322 0.631
S 0.684 0.684 0.813
Ta 0.842 0.842 0.413
Ta 0.158 0.158 0.587